(1)
The following is a GGA-PBE calculation of an optimized crystal structure of LaSi2P, from Alexandria via LeMat-Bulk.

abc: 4.117 4.709 4.487
angles: 90.00 92.84 90.00
Space group P2/m (No. 10)
One atom of each set of equivalent atoms:
La  0.000  0.000  0.000 [1 per cell]
Si  0.271  0.500  0.643 [2 per cell]
P  0.500  0.000  0.500 [1 per cell]

Results
As for the mass density: 4.32 Mg/m³. The calculation puts the total energy at -0.4178 Ry per atom. Its uncorrected formation energy is -1.55 eV per formula unit.

(2)
The following is a GGA-PBE calculation of an optimized crystal structure of Co3CI, from Alexandria via LeMat-Bulk.

abc: 3.939 3.939 3.939
angles: 90.00 90.00 90.00
Space group Pm-3m (No. 221)
One atom of each set of equivalent atoms:
Co  0.000  0.000  0.500 [3 per cell]
C  0.000  0.000  0.000 [1 per cell]
I  0.500  0.500  0.500 [1 per cell]

Results
As for the mass density: 8.58 Mg/m³. Its distance to the lowest polymorph of the same formula is 0 meV per atom. The calculation puts the total energy at -0.4264 Ry per atom. Its uncorrected formation energy is 3.08 eV per formula unit.